CaNb3Ru (GGA-PBE, optimized geometry); energy above the most stable polymorph in this dataset = 0 meV/atom
1.0
-1.798 -4.386 -1.314
4.569 -1.808 -0.219
-0.288 -1.301 4.735
Ca Nb Ru
1 3 1
Direct
0.500 0.500 0.500
0.000 0.000 0.500
0.500 0.000 0.000
0.000 0.500 0.000
0.000 0.000 0.000